[1]
DFT (PBE-GGA) results for a relaxed structure of Ta2W11.

Cell lengths 9.9460, 9.9460, 9.9460 Å; angles 30.27, 30.27, 30.27 degrees
Closest atoms and distances in Å follow each position.
Positions (direct):
Ta (0.1674, 0.1674, 0.1674)  12 W 2.93-3.27, 3 Ta 3.00
Ta (0.8326, 0.8326, 0.8326)  12 W 2.93-3.27, 3 Ta 3.00
W (0.0000, 0.0000, 0.0000)  6 W 2.67
W (0.0907, 0.0907, 0.5869)  7 W 2.58-2.88
W (0.0907, 0.5869, 0.0907)  7 W 2.58-2.88
W (0.3469, 0.3469, 0.3469)  16 W 2.98-3.17
W (0.4131, 0.9093, 0.9093)  7 W 2.58-2.88
W (0.4546, 0.4546, 0.4546)  7 W 2.58-2.88
W (0.5454, 0.5454, 0.5454)  7 W 2.58-2.88
W (0.5869, 0.0907, 0.0907)  7 W 2.58-2.88
W (0.6531, 0.6531, 0.6531)  16 W 2.98-3.17
W (0.9093, 0.4131, 0.9093)  7 W 2.58-2.88
W (0.9093, 0.9093, 0.4131)  7 W 2.58-2.88

Summary:
polymorph energy (0 for the lowest one): 51 meV per atom
formation energy from the elements: 240 meV per atom
crystal system: trigonal

[2]
DFT (PBE-GGA) results for a relaxed structure of PmFeCu.

Cell lengths 4.6121, 4.6121, 4.6121 Å; angles 60.00, 60.00, 60.00 degrees
Closest atoms and distances in Å follow each position.
Positions (direct):
Pm (0.0000, 0.0000, 0.0000)  4 Cu 2.82, 4 Fe 2.82
Fe (0.2500, 0.2500, 0.2500)  4 Pm 2.82
Cu (0.7500, 0.7500, 0.7500)  4 Pm 2.82

Summary:
polymorph energy (0 for the lowest one): 522 meV per atom
formation energy from the elements: 929 meV per atom
crystal system: cubic

[3]
DFT (PBE-GGA) results for a relaxed structure of Ba2CuAgSb2.

Cell lengths 4.7770, 4.7770, 9.4144 Å; angles 90.00, 90.00, 120.00 degrees
Closest atoms and distances in Å follow each position.
Positions (direct):
Ba (0.0000, 0.0000, 0.0000)  6 Sb 3.60-3.65, 3 Ag 3.62, 3 Cu 3.63
Ba (0.0000, 0.0000, 0.4959)  3 Cu 3.60, 6 Sb 3.62, 3 Ag 3.66
Cu (0.6667, 0.3333, 0.2507)  3 Sb 2.76
Ag (0.3333, 0.6667, 0.7511)  3 Sb 2.76
Sb (0.3333, 0.6667, 0.2464)  3 Cu 2.76
Sb (0.6667, 0.3333, 0.7457)  3 Ag 2.76

Summary:
crystal system: trigonal

[4]
DFT (PBE-GGA) results for a relaxed structure of SrAcLu.

Cell lengths 5.9217, 5.9217, 5.9217 Å; angles 60.00, 60.00, 60.00 degrees
Closest atoms and distances in Å follow each position.
Positions (direct):
Sr (0.0000, 0.0000, 0.0000)  4 Lu 3.63
Ac (0.5000, 0.5000, 0.5000)  4 Lu 3.63
Lu (0.7500, 0.7500, 0.7500)  4 Ac 3.63, 4 Sr 3.63

Summary:
polymorph energy (0 for the lowest one): 0 meV per atom
crystal system: cubic

[5]
DFT (PBE-GGA) results for a relaxed structure of InGeW.

Cell lengths 4.4988, 4.4988, 4.4988 Å; angles 60.00, 60.00, 60.00 degrees
Closest atoms and distances in Å follow each position.
Positions (direct):
In (0.0000, 0.0000, 0.0000)  4 W 2.75
Ge (0.5000, 0.5000, 0.5000)  4 W 2.75
W (0.7500, 0.7500, 0.7500)  4 Ge 2.75, 4 In 2.75

Summary:
polymorph energy (0 for the lowest one): 0 meV per atom
crystal system: cubic

Number 1: uncorrected energy -12.550 eV per atom, calculated density 17.87 g/cm3. Number 2: uncorrected energy -4.662 eV per atom, calculated density 6.33 g/cm3. Number 3: uncorrected energy -3.837 eV per atom, calculated density 6.15 g/cm3. Number 4: uncorrected energy -2.765 eV per atom, calculated density 5.54 g/cm3. Number 5: uncorrected energy -5.880 eV per atom, calculated density 9.58 g/cm3.